Entry from Alexandria: a geometry-optimized Tb2PmRh3 structure (PBE-GGA).

Structure (POSCAR):
```
Tb2PmRh3
1.0
3.461 0.000 0.000
0.000 3.461 0.000
0.000 0.000 10.443
Pm Rh Tb
1 3 2
Cartesian
1.730 1.730 5.222
0.000 0.000 0.000
0.000 0.000 3.406
0.000 0.000 7.037
1.730 1.730 8.725
1.730 1.730 1.718
```

Summary:
Calculated formation energy   -0.786 eV/atom
V   125.1 Å³ per cell
Total magnetization   0.0 Bohr magnetons per cell
ρ   10.243 Mg/m³
Distance to the lowest polymorph of the same formula   0.0046 eV/atom

=====

Entry from Alexandria: a geometry-optimized Rb2CaHgBr6 structure (PBE-GGA).

Structure (POSCAR):
```
Rb2CaHgBr6
1.0
8.048 0.000 0.000
0.000 8.048 0.000
4.024 4.024 5.692
Br Rb Hg Ca
6 2 1 1
Cartesian
1.997 6.051 0.000
6.051 6.051 0.000
8.048 8.048 2.826
4.024 4.024 2.866
1.997 1.997 0.000
6.051 1.997 0.000
8.048 4.024 2.846
4.024 8.048 2.846
0.000 0.000 0.000
4.024 4.024 0.000
```

Summary:
V   368.7 Å³ per cell
Formation energy from raw total energies   -136 kJ/mol of atoms
Total magnetization   0.0 Bohr magnetons per cell
ρ   4.013 Mg/m³
Distance to the lowest polymorph of the same formula   0.0260 eV/atom

=====

Entry from Alexandria: a geometry-optimized K2DyTe2O6 structure (PBE-GGA).

Structure (POSCAR):
```
K2DyTe2O6
1.0
-2.070 -1.877 6.411
-0.675 -3.357 -5.015
6.408 -0.496 1.924
O Te K Dy
6 2 2 1
Cartesian
0.174 -1.842 4.981
3.489 -3.888 -1.661
1.069 -1.030 2.208
2.594 -4.700 1.112
2.773 -3.402 3.714
0.890 -2.328 -0.394
1.408 -0.633 0.270
2.254 -5.097 3.050
4.732 -3.185 0.595
-1.069 -2.544 2.724
2.169 -1.186 4.167
```

Summary:
V   216.4 Å³ per cell
Formation energy from raw total energies   -159 kJ/mol of atoms
Total magnetization   0.0 Bohr magnetons per cell
ρ   4.542 Mg/m³

=====

Entry from Alexandria: a geometry-optimized SmErGeRh structure (PBE-GGA).

Structure (POSCAR):
```
SmErGeRh
1.0
-1.847 -2.078 -4.137
0.808 -4.828 -0.939
-3.755 -3.262 0.313
Sm Rh Ge Er
1 1 1 1
Cartesian
-2.397 -5.084 -2.381
-1.199 -2.542 -1.191
-3.596 -7.626 -3.572
0.000 0.000 0.000
```

Summary:
Calculated formation energy   -0.698 eV/atom
V   87.6 Å³ per cell
Total magnetization   0.0 Bohr magnetons per cell
ρ   9.353 Mg/m³
Distance to the lowest polymorph of the same formula   0.1458 eV/atom